1.
Crystalline TlGe2F at its relaxed geometry. Source: the Alexandria database, functional GGA-PBE.

Geometry as extended XYZ:
```
4
Lattice="0.000 3.378 3.378 3.378 0.000 3.378 3.378 3.378 0.000" Properties=species:S:1:pos:R:3 pbc="T T T"
Tl 0.000 0.000 0.000
Ge 1.689 1.689 1.689
Ge 5.067 5.067 5.067
F 3.378 3.378 3.378
```

Computed properties:
Excess energy over the best structure of this formula in the dataset = 0.1488 eV/atom
Symmetry = No. 225
Total moment = 0.00 μB/f.u.
Energy = -14.28 eV per cell

***

2.
Crystalline Ba2Tl6Pt at its relaxed geometry. Source: the Alexandria database, functional GGA-PBE.

Geometry as extended XYZ:
```
9
Lattice="6.341 -3.661 0.000 6.341 3.661 0.000 -0.003 0.000 6.107" Properties=species:S:1:pos:R:3 pbc="T T T"
Ba 2.121 0.000 1.343
Ba 10.558 0.000 4.765
Tl 5.265 1.861 1.805
Tl 4.180 0.000 4.302
Tl 7.415 1.861 4.302
Tl 5.265 -1.861 1.805
Tl 8.499 0.000 1.805
Tl 7.415 -1.861 4.302
Pt 6.341 0.000 0.000
```

Computed properties:
Excess energy over the best structure of this formula in the dataset = 0.0000 eV/atom
Symmetry = No. 12
ΔE_f = -3.0 eV/f.u.
Total moment = 0.00 μB/f.u.
Energy = -27.05 eV per cell

***

3.
Crystalline PrNdSb2O8 at its relaxed geometry. Source: the Alexandria database, functional GGA-PBE.

Geometry as extended XYZ:
```
12
Lattice="-2.704 2.704 5.819 2.704 -2.704 5.819 2.704 2.704 -5.819" Properties=species:S:1:pos:R:3 pbc="T T T"
Pr 0.000 0.000 0.000
Nd 2.704 0.000 2.909
Sb 0.000 0.000 5.819
Sb 0.000 2.704 2.909
O 1.357 0.931 -1.906
O 1.350 -0.918 4.806
O 1.787 1.354 1.013
O 1.773 -1.347 7.725
O 1.354 3.622 -1.013
O 1.347 1.773 3.913
O 0.918 1.350 6.832
O 0.931 4.052 1.906
```

Computed properties:
Symmetry = No. 82
Total moment = 0.00 μB/f.u.
Energy = -84.85 eV per cell